1.
! GGA-PBE SmMg3In4, optimized geometry; values from VASP
&SYSTEM
  ibrav = 0, nat = 16, ntyp = 3
/
ATOMIC_SPECIES
Mg 24.30 Mg.upf
Sm 150.36 Sm.upf
In 114.82 In.upf
CELL_PARAMETERS angstrom
4.797 0.000 0.000
0.000 8.435 0.000
0.000 0.000 9.594
ATOMIC_POSITIONS crystal
Mg 0.000 0.000 0.000
Mg 0.000 0.000 0.500
Mg 0.500 0.000 0.750
Mg 0.500 0.000 0.250
Mg 0.500 0.500 0.750
Mg 0.500 0.500 0.250
Sm 0.000 0.500 0.000
Sm 0.000 0.500 0.500
In 0.500 0.763 0.000
In 0.500 0.763 0.500
In 0.500 0.237 0.000
In 0.500 0.237 0.500
In 0.000 0.763 0.750
In 0.000 0.763 0.250
In 0.000 0.237 0.250
In 0.000 0.237 0.750
! Raw total energy ... -2.784 eV/atom
! Calculated volume ... 388.2 Å³/cell
! Crystal system ... tetragonal
! Density ... 5.8 Mg/m³
! Calculated formation energy ... -0.23 eV per atom


2.
! GGA-PBE La2InNi, optimized geometry; values from VASP
&SYSTEM
  ibrav = 0, nat = 8, ntyp = 3
/
ATOMIC_SPECIES
Ni 58.69 Ni.upf
In 114.82 In.upf
La 138.91 La.upf
CELL_PARAMETERS angstrom
-0.767 4.594 -6.868
-7.741 2.013 2.211
-3.135 5.862 -0.742
ATOMIC_POSITIONS crystal
Ni 0.500 0.500 0.000
Ni 0.250 0.750 0.500
In 0.000 0.000 0.000
In 0.750 0.250 0.500
La 0.562 0.125 0.250
La 0.188 0.625 0.250
La 0.375 0.438 0.750
La 0.875 0.812 0.750
! Raw total energy ... -4.765 eV/atom
! Calculated volume ... 221.2 Å³/cell
! Crystal system ... tetragonal
! Density ... 6.8 Mg/m³
! Calculated formation energy ... -0.17 eV per atom


3.
! GGA-PBE Y4Tl2In, optimized geometry; values from VASP
&SYSTEM
  ibrav = 0, nat = 14, ntyp = 3
/
ATOMIC_SPECIES
Y 88.91 Y.upf
Tl 204.38 Tl.upf
In 114.82 In.upf
CELL_PARAMETERS angstrom
-6.875 0.074 -0.758
2.891 -8.079 -1.297
1.210 2.612 7.973
ATOMIC_POSITIONS crystal
Y 0.049 0.268 0.370
Y 0.331 0.464 0.113
Y 0.774 0.619 0.558
Y 0.766 0.104 0.807
Y 0.467 0.099 0.386
Y 0.209 0.047 0.693
Y 0.466 0.810 0.941
Y 0.929 0.647 0.130
Tl 0.504 0.434 0.749
Tl 0.738 0.876 0.365
Tl 0.623 0.260 0.135
Tl 0.005 0.435 0.751
In 0.322 0.719 0.500
In 0.071 0.969 0.000
! Raw total energy ... -5.122 eV/atom
! Energy relative to the lowest polymorph listed for this composition ... 0.0000 eV/atom
! Calculated volume ... 404.6 Å³/cell
! Crystal system ... triclinic
! Density ... 7.2 Mg/m³
! Calculated formation energy ... -0.36 eV per atom


4.
! GGA-PBE Rb2FeTeI6, optimized geometry; values from VASP
&SYSTEM
  ibrav = 0, nat = 10, ntyp = 4
/
ATOMIC_SPECIES
I 126.90 I.upf
Te 127.60 Te.upf
Fe 55.84 Fe.upf
Rb 85.47 Rb.upf
CELL_PARAMETERS angstrom
8.489 0.000 0.000
0.000 8.489 0.000
4.245 4.245 5.953
ATOMIC_POSITIONS crystal
I 0.256 0.256 0.488
I 0.744 0.744 0.512
I 0.271 0.271 0.000
I 0.729 0.729 0.000
I 0.729 0.271 0.000
I 0.271 0.729 0.000
Te 0.000 0.000 0.000
Fe 0.500 0.500 0.000
Rb 0.750 0.250 0.500
Rb 0.250 0.750 0.500
! Raw total energy ... -2.845 eV/atom
! Calculated volume ... 429.0 Å³/cell
! Crystal system ... tetragonal
! Raw formation energy ... -0.561 eV per atom
! Density ... 4.3 Mg/m³


5.
! GGA-PBE Sr3Ca4In4, optimized geometry; values from VASP
&SYSTEM
  ibrav = 0, nat = 11, ntyp = 3
/
ATOMIC_SPECIES
Sr 87.62 Sr.upf
Ca 40.08 Ca.upf
In 114.82 In.upf
CELL_PARAMETERS angstrom
-3.136 -1.158 2.265
2.374 -9.801 -1.722
6.029 5.474 7.548
ATOMIC_POSITIONS crystal
Sr 0.100 0.100 0.199
Sr 0.900 0.900 0.801
Sr 0.000 0.500 0.000
Ca 0.331 0.140 0.661
Ca 0.669 0.479 0.339
Ca 0.669 0.860 0.339
Ca 0.331 0.521 0.661
In 0.257 0.757 0.514
In 0.743 0.243 0.486
In 0.500 0.781 0.000
In 0.500 0.219 0.000
! Raw total energy ... -2.513 eV/atom
! Calculated volume ... 398.5 Å³/cell
! Crystal system ... orthorhombic
! Density ... 3.7 Mg/m³
! Calculated formation energy ... -0.33 eV per atom


6.
! GGA-PBE Cd2CuCl, optimized geometry; values from VASP
&SYSTEM
  ibrav = 0, nat = 4, ntyp = 3
/
ATOMIC_SPECIES
Cl 35.45 Cl.upf
Cu 63.55 Cu.upf
Cd 112.41 Cd.upf
CELL_PARAMETERS angstrom
5.651 -0.130 0.078
1.362 5.486 -0.078
-2.338 -4.207 2.964
ATOMIC_POSITIONS crystal
Cl 0.250 0.750 0.500
Cu 0.750 0.250 0.500
Cd 0.985 0.985 0.000
Cd 0.515 0.515 0.000
! Raw total energy ... -1.974 eV/atom
! Energy relative to the lowest polymorph listed for this composition ... 0.1563 eV/atom
! Calculated volume ... 91.1 Å³/cell
! Crystal system ... orthorhombic
! Raw formation energy ... -0.031 eV per atom
! Density ... 5.9 Mg/m³


7.
! GGA-PBE PmEu2Y, optimized geometry; values from VASP
&SYSTEM
  ibrav = 0, nat = 4, ntyp = 3
/
ATOMIC_SPECIES
Eu 151.96 Eu.upf
Y 88.91 Y.upf
Pm 145.00 Pm.upf
CELL_PARAMETERS angstrom
5.339 0.000 0.000
0.000 5.217 0.000
0.000 0.000 5.217
ATOMIC_POSITIONS crystal
Eu 0.000 0.000 0.500
Eu 0.000 0.500 0.000
Y 0.500 0.500 0.500
Pm 0.500 0.000 0.000
! Raw total energy ... -7.830 eV/atom
! Energy relative to the lowest polymorph listed for this composition ... 0.0047 eV/atom
! Calculated volume ... 145.3 Å³/cell
! Crystal system ... tetragonal
! Density ... 6.1 Mg/m³
! Calculated formation energy ... 0.11 eV per atom


8.
! GGA-PBE SrCe2ZnN4, optimized geometry; values from VASP
&SYSTEM
  ibrav = 0, nat = 16, ntyp = 4
/
ATOMIC_SPECIES
Sr 87.62 Sr.upf
Ce 140.12 Ce.upf
Zn 65.41 Zn.upf
N 14.01 N.upf
CELL_PARAMETERS angstrom
-2.672 -0.991 2.205
1.209 -4.856 -3.661
7.942 -3.942 7.854
ATOMIC_POSITIONS crystal
Sr 0.099 0.198 0.750
Sr 0.901 0.802 0.250
Ce 0.369 0.737 0.553
Ce 0.631 0.263 0.053
Ce 0.631 0.263 0.447
Ce 0.369 0.737 0.947
Zn 0.834 0.667 0.750
Zn 0.166 0.333 0.250
N 0.256 0.512 0.106
N 0.744 0.488 0.606
N 0.744 0.488 0.894
N 0.256 0.512 0.394
N 0.000 0.000 0.500
N 0.000 0.000 0.000
N 0.431 0.862 0.750
N 0.569 0.138 0.250
! Raw total energy ... -7.067 eV/atom
! Calculated volume ... 253.2 Å³/cell
! Crystal system ... orthorhombic
! Raw formation energy ... -1.051 eV per atom
! Density ... 6.4 Mg/m³


9.
! GGA-PBE YSe3, optimized geometry; values from VASP
&SYSTEM
  ibrav = 0, nat = 4, ntyp = 2
/
ATOMIC_SPECIES
Se 78.96 Se.upf
Y 88.91 Y.upf
CELL_PARAMETERS angstrom
-2.089 4.047 -3.228
-2.175 -2.652 -4.404
-0.722 -0.014 5.535
ATOMIC_POSITIONS crystal
Se 0.677 0.691 0.986
Se 0.295 0.309 0.986
Se 0.121 0.500 0.621
Y 0.740 0.000 0.740
! Raw total energy ... -5.165 eV/atom
! Calculated volume ... 98.5 Å³/cell
! Crystal system ... orthorhombic
! Raw formation energy ... -0.936 eV per atom
! Density ... 5.5 Mg/m³


10.
! GGA-PBE TbSmGaSn, optimized geometry; values from VASP
&SYSTEM
  ibrav = 0, nat = 4, ntyp = 4
/
ATOMIC_SPECIES
Ga 69.72 Ga.upf
Tb 158.93 Tb.upf
Sn 118.71 Sn.upf
Sm 150.36 Sm.upf
CELL_PARAMETERS angstrom
5.280 0.000 0.000
2.640 4.572 0.000
2.640 1.524 4.311
ATOMIC_POSITIONS crystal
Ga 0.250 0.250 0.250
Tb 0.000 0.000 0.000
Sn 0.750 0.750 0.750
Sm 0.500 0.500 0.500
! Raw total energy ... -4.651 eV/atom
! Energy relative to the lowest polymorph listed for this composition ... 0.1538 eV/atom
! Calculated volume ... 104.1 Å³/cell
! Crystal system ... cubic
! Density ... 7.9 Mg/m³
! Calculated formation energy ... -0.56 eV per atom


11.
! GGA-PBE CdTc2Se, optimized geometry; values from VASP
&SYSTEM
  ibrav = 0, nat = 4, ntyp = 3
/
ATOMIC_SPECIES
Cd 112.41 Cd.upf
Se 78.96 Se.upf
Tc 98.00 Tc.upf
CELL_PARAMETERS angstrom
3.072 0.000 0.000
0.000 3.072 0.000
0.000 0.000 6.887
ATOMIC_POSITIONS crystal
Cd 0.500 0.500 0.250
Se 0.500 0.500 0.750
Tc 0.000 0.000 0.957
Tc 0.000 0.000 0.543
! Raw total energy ... -5.914 eV/atom
! Energy relative to the lowest polymorph listed for this composition ... 0.2684 eV/atom
! Calculated volume ... 65.0 Å³/cell
! Crystal system ... tetragonal
! Raw formation energy ... 0.368 eV per atom
! Density ... 9.9 Mg/m³


12.
! GGA-PBE LiPu2TaN5, optimized geometry; values from VASP
&SYSTEM
  ibrav = 0, nat = 18, ntyp = 4
/
ATOMIC_SPECIES
Li 6.94 Li.upf
Pu 244.00 Pu.upf
Ta 180.95 Ta.upf
N 14.01 N.upf
CELL_PARAMETERS angstrom
-0.405 -1.271 -2.952
0.176 -5.258 4.017
-10.086 0.541 1.150
ATOMIC_POSITIONS crystal
Li 0.524 0.048 0.962
Li 0.476 0.952 0.462
Pu 0.864 0.727 0.801
Pu 0.100 0.200 0.667
Pu 0.136 0.273 0.301
Pu 0.900 0.800 0.167
Ta 0.800 0.600 0.506
Ta 0.200 0.400 0.006
N 0.362 0.725 0.004
N 0.690 0.379 0.881
N 0.491 0.982 0.770
N 0.281 0.562 0.660
N 0.948 0.896 0.572
N 0.638 0.275 0.504
N 0.310 0.621 0.381
N 0.509 0.018 0.270
N 0.719 0.438 0.160
N 0.052 0.104 0.072
! Raw total energy ... -10.238 eV/atom
! Calculated volume ... 211.4 Å³/cell
! Crystal system ... orthorhombic
! Raw formation energy ... -0.898 eV per atom
! Density ... 11.7 Mg/m³


13.
! GGA-PBE Sm3Rh2, optimized geometry; values from VASP
&SYSTEM
  ibrav = 0, nat = 15, ntyp = 2
/
ATOMIC_SPECIES
Sm 150.36 Sm.upf
Rh 102.91 Rh.upf
CELL_PARAMETERS angstrom
7.521 -0.002 -0.002
2.389 7.132 -0.002
2.389 1.719 6.921
ATOMIC_POSITIONS crystal
Sm 0.338 0.835 0.108
Sm 0.108 0.338 0.835
Sm 0.835 0.108 0.338
Sm 0.165 0.892 0.662
Sm 0.892 0.662 0.165
Sm 0.662 0.165 0.892
Sm 0.297 0.297 0.297
Sm 0.703 0.703 0.703
Sm 0.500 0.500 0.500
Rh 0.455 0.090 0.664
Rh 0.090 0.664 0.455
Rh 0.664 0.455 0.090
Rh 0.545 0.910 0.336
Rh 0.910 0.336 0.545
Rh 0.336 0.545 0.910
! Raw total energy ... -6.446 eV/atom
! Energy relative to the lowest polymorph listed for this composition ... 0.0000 eV/atom
! Calculated volume ... 371.3 Å³/cell
! Crystal system ... trigonal
! Density ... 8.8 Mg/m³
! Calculated formation energy ... -0.67 eV per atom


14.
! GGA-PBE Ba2ErCd3Hg12, optimized geometry; values from VASP
&SYSTEM
  ibrav = 0, nat = 18, ntyp = 4
/
ATOMIC_SPECIES
Ba 137.33 Ba.upf
Er 167.26 Er.upf
Cd 112.41 Cd.upf
Hg 200.59 Hg.upf
CELL_PARAMETERS angstrom
12.527 3.171 2.249
8.944 9.326 2.249
8.944 5.206 8.058
ATOMIC_POSITIONS crystal
Ba 0.637 0.637 0.637
Ba 0.363 0.363 0.363
Er 0.000 0.000 0.000
Cd 0.500 0.000 0.000
Cd 0.000 0.500 0.000
Cd 0.000 0.000 0.500
Hg 0.407 0.407 0.845
Hg 0.882 0.882 0.404
Hg 0.404 0.882 0.882
Hg 0.845 0.407 0.407
Hg 0.882 0.404 0.882
Hg 0.407 0.845 0.407
Hg 0.593 0.593 0.155
Hg 0.118 0.118 0.596
Hg 0.596 0.118 0.118
Hg 0.155 0.593 0.593
Hg 0.118 0.596 0.118
Hg 0.593 0.155 0.593
! Raw total energy ... -0.991 eV/atom
! Calculated volume ... 547.1 Å³/cell
! Crystal system ... trigonal
! Density ... 9.7 Mg/m³
! Calculated formation energy ... -0.17 eV per atom


15.
! GGA-PBE PrSm5Te5, optimized geometry; values from VASP
&SYSTEM
  ibrav = 0, nat = 11, ntyp = 3
/
ATOMIC_SPECIES
Pr 140.91 Pr.upf
Sm 150.36 Sm.upf
Te 127.60 Te.upf
CELL_PARAMETERS angstrom
6.257 0.000 0.000
-3.128 6.953 -0.058
0.000 -2.664 8.349
ATOMIC_POSITIONS crystal
Pr 0.000 0.000 0.000
Sm 0.659 0.318 0.338
Sm 0.663 0.326 0.825
Sm 0.000 0.000 0.500
Sm 0.337 0.674 0.175
Sm 0.341 0.682 0.662
Te 0.825 0.650 0.167
Te 0.832 0.664 0.662
Te 0.500 0.000 0.000
Te 0.168 0.336 0.338
Te 0.175 0.350 0.833
! Raw total energy ... -5.205 eV/atom
! Calculated volume ... 362.3 Å³/cell
! Crystal system ... monoclinic
! Raw formation energy ... -1.198 eV per atom
! Density ... 7.0 Mg/m³


16.
! GGA-PBE NaDyErAl, optimized geometry; values from VASP
&SYSTEM
  ibrav = 0, nat = 4, ntyp = 4
/
ATOMIC_SPECIES
Na 22.99 Na.upf
Dy 162.50 Dy.upf
Al 26.98 Al.upf
Er 167.26 Er.upf
CELL_PARAMETERS angstrom
-1.208 4.800 -1.791
-2.626 3.372 3.073
2.445 4.231 1.955
ATOMIC_POSITIONS crystal
Na 0.750 0.750 0.750
Dy 0.500 0.500 0.500
Al 0.250 0.250 0.250
Er 0.000 0.000 0.000
! Raw total energy ... -3.584 eV/atom
! Calculated volume ... 103.1 Å³/cell
! Crystal system ... cubic
! Density ... 6.1 Mg/m³
! Calculated formation energy ... -0.03 eV per atom


17.
! GGA-PBE ErNi4Ge12, optimized geometry; values from VASP
&SYSTEM
  ibrav = 0, nat = 17, ntyp = 3
/
ATOMIC_SPECIES
Er 167.26 Er.upf
Ni 58.69 Ni.upf
Ge 72.64 Ge.upf
CELL_PARAMETERS angstrom
7.268 0.000 0.000
-2.423 6.852 0.000
-2.423 -3.426 5.934
ATOMIC_POSITIONS crystal
Er 0.000 0.000 0.000
Ni 0.000 0.500 0.000
Ni 0.500 0.000 0.000
Ni 0.500 0.500 0.500
Ni 0.000 0.000 0.500
Ge 0.839 0.346 0.185
Ge 0.346 0.507 0.161
Ge 0.815 0.161 0.654
Ge 0.346 0.185 0.839
Ge 0.185 0.839 0.346
Ge 0.654 0.493 0.839
Ge 0.507 0.161 0.346
Ge 0.493 0.839 0.654
Ge 0.654 0.815 0.161
Ge 0.839 0.654 0.493
Ge 0.161 0.346 0.507
Ge 0.161 0.654 0.815
! Raw total energy ... -5.065 eV/atom
! Calculated volume ... 295.5 Å³/cell
! Crystal system ... cubic
! Density ... 7.2 Mg/m³
! Calculated formation energy ... -0.18 eV per atom


18.
! GGA-PBE CsBaBe2N, optimized geometry; values from VASP
&SYSTEM
  ibrav = 0, nat = 5, ntyp = 4
/
ATOMIC_SPECIES
Cs 132.91 Cs.upf
Be 9.01 Be.upf
Ba 137.33 Ba.upf
N 14.01 N.upf
CELL_PARAMETERS angstrom
-1.549 3.576 -1.840
-3.719 0.701 4.493
2.954 2.350 2.079
ATOMIC_POSITIONS crystal
Cs 0.000 0.500 0.000
Be 0.000 0.000 0.500
Be 0.500 0.000 0.000
Ba 0.500 0.500 0.500
N 0.000 0.000 0.000
! Raw total energy ... -2.540 eV/atom
! Calculated volume ... 109.1 Å³/cell
! Crystal system ... tetragonal
! Raw formation energy ... 1.171 eV per atom
! Density ... 4.6 Mg/m³


19.
! GGA-PBE LaAl2Tl, optimized geometry; values from VASP
&SYSTEM
  ibrav = 0, nat = 4, ntyp = 3
/
ATOMIC_SPECIES
Tl 204.38 Tl.upf
Al 26.98 Al.upf
La 138.91 La.upf
CELL_PARAMETERS angstrom
-5.104 -1.999 1.734
0.672 -4.597 3.387
2.341 5.250 0.062
ATOMIC_POSITIONS crystal
Tl 0.750 0.250 0.500
Al 0.000 0.000 0.000
Al 0.500 0.500 0.000
La 0.250 0.750 0.500
! Raw total energy ... -3.802 eV/atom
! Energy relative to the lowest polymorph listed for this composition ... 0.1613 eV/atom
! Calculated volume ... 101.2 Å³/cell
! Crystal system ... tetragonal
! Density ... 6.5 Mg/m³
! Calculated formation energy ... -0.11 eV per atom


20.
! GGA-PBE In4SnHg7, optimized geometry; values from VASP
&SYSTEM
  ibrav = 0, nat = 12, ntyp = 3
/
ATOMIC_SPECIES
In 114.82 In.upf
Sn 118.71 Sn.upf
Hg 200.59 Hg.upf
CELL_PARAMETERS angstrom
-0.899 1.289 -4.379
-3.401 0.016 3.174
3.974 16.939 4.171
ATOMIC_POSITIONS crystal
In 0.667 0.333 0.080
In 0.333 0.667 0.920
In 0.667 0.333 0.339
In 0.333 0.667 0.661
Sn 0.000 0.000 0.500
Hg 0.000 0.000 0.000
Hg 0.667 0.333 0.579
Hg 0.333 0.667 0.421
Hg 0.667 0.333 0.835
Hg 0.333 0.667 0.165
Hg 0.000 0.000 0.250
Hg 0.000 0.000 0.750
! Raw total energy ... -1.402 eV/atom
! Energy relative to the lowest polymorph listed for this composition ... 0.0048 eV/atom
! Calculated volume ... 335.4 Å³/cell
! Crystal system ... trigonal
! Density ... 9.8 Mg/m³
! Calculated formation energy ... 0.02 eV per atom